A plane-wave DFT calculation with GGA+U was carried out for an optimized crystal structure of NaCo2O4.

Values from the calculation:
As for the total magnetization: 0.98 μB per formula unit. The space group is Pm (6). The mass density comes out at 4.37 g/cm3. For the total energy, the calculation gives -0.2051 hartree per atom. The value obtained for the energy above the most stable polymorph in this dataset is 0.550 kcal/mol of atoms.

The structure in POSCAR format:
```
NaCo2O4
1.0
2.8665 -0.0922 -0.0372
0.1556 4.8653 -0.0498
0.1303 1.8171 5.5545
Co O Na
2 4 1
direct
0.5053 0.5033 0.9922 Co
0.0053 0.0000 0.0058 Co
0.0053 0.3973 0.8228 O
0.5053 0.9013 0.8245 O
0.5053 0.1115 0.1790 O
0.0053 0.5972 0.1710 O
0.0047 0.1468 0.4956 Na
```